Entry from Alexandria: a relaxed Hf4OsRu crystal (PBE-GGA).

Cell: 4.5036 4.5036 6.3976 Å, 90.07 90.07 90.00°
Last column: nearest neighbours and their distance in Å.
Atoms (fractional coordinates):
1 Hf 0.0002 0.5003 0.2493  2 Os 2.76, 2 Ru 2.76-2.77
2 Hf 0.9998 0.4997 0.7507  2 Os 2.76, 2 Ru 2.76-2.77
3 Hf 0.5003 0.0002 0.2493  2 Os 2.76, 2 Ru 2.76-2.77
4 Hf 0.4997 0.9998 0.7507  2 Os 2.76, 2 Ru 2.76-2.77
5 Os 0.0000 0.0000 0.0000  8 Hf 2.76
6 Ru 0.5000 0.5000 0.5000  8 Hf 2.76-2.77

Summary:
Magnetization in μB per formula unit: 0.0
Density of states at the Fermi level in states/eV per atom: 1.18
Formation energy in meV/atom: -294.9
SG: C2/m